No. 1
{
  "formula": "EuHoIn",
  "functional": "GGA-PBE",
  "state": "optimized geometry",
  "polymorph_energy_ev_per_atom": 0.000,
  "e_form_ev_per_atom": -0.25,
  "m_tot_mub_per_fu": 7.8,
  "e_tot_ev_per_atom": -6.113,
  "lattice": [[-1.869, 1.869, 6.704], [1.869, -1.869, 6.704], [1.869, 1.869, -6.704]],
  "species": ["Eu", "Ho", "In"],
  "frac_coords": [[0.000, 0.000, 0.000], [0.299, 0.299, 0.000], [0.662, 0.662, 0.000]]
}



No. 2
{
  "formula": "Dy3SbSeN",
  "functional": "GGA-PBE",
  "state": "optimized geometry",
  "formation_energy_uncorrected_mev_per_atom": -1402,
  "m_tot_mub_per_fu": 0.0,
  "e_tot_ev_per_atom": -6.359,
  "lattice": [[8.667, 0.000, 0.000], [0.000, 4.086, 0.000], [-1.516, 0.000, 8.935]],
  "species": ["Dy", "Dy", "Dy", "Dy", "Dy", "Dy", "Sb", "Sb", "Se", "Se", "N", "N"],
  "frac_coords": [[0.092, 0.250, 0.347], [0.346, 0.250, 0.992], [0.393, 0.750, 0.661], [0.607, 0.250, 0.339], [0.654, 0.750, 0.008], [0.908, 0.750, 0.653], [0.330, 0.750, 0.292], [0.670, 0.250, 0.708], [0.146, 0.250, 0.664], [0.854, 0.750, 0.336], [0.406, 0.750, 0.901], [0.594, 0.250, 0.099]]
}



- Which formula does entry 1 have?
  EuHoIn